Ce12PaRh6 | GGA-PBE | relaxed

Output
**Energy relative to the elements**: -0.337 eV per atom
**M_tot**: 0.00 μB/cell
**N(E_F)**: 2.0007 states/eV/atom
**VASP energy**: -393.6 eV per cell

Lattice parameters (Å, degrees): 9.6028 9.6028 16.0884 90.00 90.00 120.00
Closest atoms and distances in Å follow each position.
Space group R-3m (No. 166, hexagonal axes)
One atom of each set of equivalent atoms:
Ce  0.0657  0.5329  0.3927 x18  4 Ce 2.96-3.25, 5 Rh 3.04-3.26
Ce  0.1099  0.2198  0.4066 x18  1 Rh 2.94, 7 Ce 2.96-3.25
Pa  0.0000  0.0000  0.0000 x3  6 Rh 2.66
Rh  0.1094  0.2188  0.1203 x18  1 Pa 2.66, 1 Ce 2.94